(1)
BaZrAg2: relaxed, PBE.

It has space group Cm (No. 8), with a = 11.570 Å, b = 3.271 Å, c = 5.629 Å, α = 90.00°, β = 105.70° and γ = 90.00°. The asymmetric unit holds Ba at (0.000, 0.000, 0.000), Zr at (0.209, 0.000, 0.613), Ag at (0.261, 0.500, 0.181) and Ag at (0.463, 0.000, 0.486).

The magnetic moment comes out at 0.96 μB/f.u. The calculated density is 7.20 Mg/m³. As for the energy: -3.79 eV/atom. The formation enthalpy at 0 K comes out at 96 kJ/mol of formula units.



(2)
KZnFe2: relaxed, PBE.

It has space group P4/mmm (No. 123), with a = 4.617 Å, b = 4.617 Å, c = 3.376 Å, α = 90.00°, β = 90.00° and γ = 90.00°. The asymmetric unit holds K at (0.000, 0.000, 0.000), Zn at (0.500, 0.500, 0.000) and Fe at (0.000, 0.500, 0.500).

The magnetic moment comes out at 5.44 μB/f.u. The calculated density is 4.99 Mg/m³. As for the energy: -3.61 eV/atom. The formation enthalpy at 0 K comes out at 469 kJ/mol of formula units.



(3)
ZnSbTe2W: relaxed, PBE.

It has space group P4/mmm (No. 123), with a = 5.215 Å, b = 5.215 Å, c = 5.035 Å, α = 90.00°, β = 90.00° and γ = 90.00°. The asymmetric unit holds Zn at (0.000, 0.000, 0.000), Sb at (0.000, 0.000, 0.500), Te at (0.000, 0.500, 0.000) and W at (0.500, 0.500, 0.500).

The magnetic moment comes out at 3.06 μB/f.u. The calculated density is 7.59 Mg/m³. As for the energy: -3.54 eV/atom. As for the formation energy without anion corrections: 1387 meV per atom.



(4)
Tb6AuC3: relaxed, PBE.

It has space group P2_1/m (No. 11), with a = 10.987 Å, b = 3.649 Å, c = 11.402 Å, α = 90.00°, β = 108.57° and γ = 90.00°. The asymmetric unit holds Tb at (0.035, 0.250, 0.376), Tb at (0.139, 0.750, 0.131), Tb at (0.255, 0.250, 0.670), Tb at (0.318, 0.750, 0.433), Tb at (0.362, 0.750, 0.949), Tb at (0.443, 0.250, 0.236), Au at (0.132, 0.250, 0.890), C at (0.151, 0.750, 0.531), C at (0.235, 0.250, 0.284) and C at (0.465, 0.250, 0.854).

The magnetic moment comes out at 0.02 μB/f.u. The calculated density is 9.09 Mg/m³. As for the energy: -6.21 eV/atom. The formation enthalpy at 0 K comes out at -330 kJ/mol of formula units.



(5)
CdAg2Sn: relaxed, PBE.

It has space group I-42d (No. 122), with a = 7.924 Å, b = 7.924 Å, c = 5.860 Å, α = 90.00°, β = 90.00° and γ = 90.00°. The asymmetric unit holds Cd at (0.000, 0.000, 0.000), Ag at (0.249, 0.250, 0.125) and Sn at (0.000, 0.000, 0.500).

The magnetic moment comes out at 0.00 μB/f.u. The calculated density is 8.07 Mg/m³. As for the energy: -2.47 eV/atom. The formation enthalpy at 0 K comes out at 70 kJ/mol of formula units.



(6)
AcPm6Y2Ho: relaxed, PBE.

It has space group C2/c (No. 15), with a = 9.500 Å, b = 15.348 Å, c = 9.669 Å, α = 90.00°, β = 94.93° and γ = 90.00°. The asymmetric unit holds Ac at (0.000, 0.034, 0.250), Pm at (0.062, 0.182, 0.943), Pm at (0.095, 0.386, 0.117), Pm at (0.222, 0.227, 0.318), Y at (0.240, 0.448, 0.450) and Ho at (0.000, 0.412, 0.750).

The magnetic moment comes out at 0.00 μB/f.u. The calculated density is 6.81 Mg/m³. As for the energy: -4.89 eV/atom. The formation enthalpy at 0 K comes out at 119 kJ/mol of formula units.



(7)
Na4Hg2Pb5: relaxed, PBE.

It has space group P2/m (No. 10), with a = 8.641 Å, b = 3.619 Å, c = 10.750 Å, α = 90.00°, β = 108.74° and γ = 90.00°. The asymmetric unit holds Na at (0.243, 0.000, 0.206), Na at (0.254, 0.000, 0.660), Hg at (0.498, 0.500, 0.859), Pb at (0.092, 0.500, 0.391), Pb at (0.138, 0.500, 0.916) and Pb at (0.500, 0.500, 0.500).

The magnetic moment comes out at 0.00 μB/f.u. The calculated density is 7.98 Mg/m³. As for the energy: -2.33 eV/atom. The formation enthalpy at 0 K comes out at -119 kJ/mol of formula units.



(8)
LiTe2Pt: relaxed, PBE.

It has space group Amm2 (No. 38), with a = 4.142 Å, b = 3.909 Å, c = 10.380 Å, α = 90.00°, β = 90.00° and γ = 90.00°. The asymmetric unit holds Li at (0.000, 0.000, 0.000), Te at (0.000, 0.000, 0.723), Te at (0.500, 0.000, 0.442) and Pt at (0.500, 0.000, 0.179).

The magnetic moment comes out at 0.00 μB/f.u. The calculated density is 9.04 Mg/m³. As for the energy: -3.93 eV/atom. As for the formation energy without anion corrections: -366 meV per atom.



(9)
YHfCr2Se: relaxed, PBE.

It has space group P4/mmm (No. 123), with a = 4.523 Å, b = 4.523 Å, c = 4.953 Å, α = 90.00°, β = 90.00° and γ = 90.00°. The asymmetric unit holds Y at (0.000, 0.000, 0.000), Hf at (0.500, 0.500, 0.000), Cr at (0.000, 0.500, 0.500) and Se at (0.500, 0.500, 0.500).

The magnetic moment comes out at 0.00 μB/f.u. The calculated density is 7.38 Mg/m³. As for the energy: -7.34 eV/atom. As for the formation energy without anion corrections: 487 meV per atom.



(10)
Ce3Sn2Pt: relaxed, PBE.

It has space group Pnma (No. 62), with a = 12.658 Å, b = 4.568 Å, c = 11.648 Å, α = 90.00°, β = 90.00° and γ = 90.00°. The asymmetric unit holds Ce at (0.050, 0.250, 0.119), Ce at (0.121, 0.750, 0.552), Ce at (0.238, 0.250, 0.799), Sn at (0.000, 0.250, 0.699), Sn at (0.194, 0.750, 0.004) and Pt at (0.118, 0.250, 0.371).

The magnetic moment comes out at 3.50 μB/f.u. The calculated density is 8.41 Mg/m³. As for the energy: -6.06 eV/atom. The formation enthalpy at 0 K comes out at -436 kJ/mol of formula units.



(11)
Tb2Cu2Pd: relaxed, PBE.

It has space group P4/mnc (No. 128), with a = 7.151 Å, b = 7.151 Å, c = 7.791 Å, α = 90.00°, β = 90.00° and γ = 90.00°. The asymmetric unit holds Tb at (0.180, 0.320, 0.000), Cu at (0.121, 0.621, 0.250) and Pd at (0.000, 0.000, 0.249).

The magnetic moment comes out at 0.00 μB/f.u. The calculated density is 9.19 Mg/m³. As for the energy: -4.95 eV/atom. The formation enthalpy at 0 K comes out at -203 kJ/mol of formula units.



(12)
La2Nd4Ga3O2: relaxed, PBE.

It has space group I4/mmm (No. 139), with a = 4.889 Å, b = 4.889 Å, c = 23.915 Å, α = 90.00°, β = 90.00° and γ = 90.00°. The asymmetric unit holds La at (0.000, 0.000, 0.202), Nd at (0.000, 0.500, 0.082), Ga at (0.000, 0.000, 0.333), Ga at (0.000, 0.000, 0.500) and O at (0.000, 0.000, 0.103).

The magnetic moment comes out at 0.00 μB/f.u. The calculated density is 6.37 Mg/m³. As for the energy: -5.67 eV/atom. As for the formation energy without anion corrections: -1310 meV per atom.